No. 1
Entry from Alexandria: an optimized crystal structure of K3CoMo (PBE).

Computed properties:
- Density: 1.9 Mg/m³
- E: -2.638 eV per atom
- Spin magnetization: 1.305 μB/atom
- Excess energy over the best structure of this formula in the dataset: 0.00 kJ/mol of atoms

Cell lengths 6.2049, 6.2049, 6.2049 Å; angles 90.00, 90.00, 90.00 degrees
With the nearest neighbours (Å) after each atom.
Positions (direct):
K 0.0000 0.0000 0.5000  2 Co 3.10
Mo 0.5000 0.5000 0.5000  12 K 4.39
Co 0.0000 0.0000 0.0000  6 K 3.10
K 0.0000 0.5000 0.0000  2 Co 3.10
K 0.5000 0.0000 0.0000  2 Co 3.10

=====

No. 2
Entry from Alexandria: an optimized crystal structure of BaP2Cl (PBE).

Computed properties:
- Density: 3.2 Mg/m³
- E: -4.334 eV per atom
- Spin magnetization: 0.000 μB/atom
- Excess energy over the best structure of this formula in the dataset: 28.67 kJ/mol of atoms

Cell lengths 4.3235, 4.3235, 13.2624 Å; angles 80.62, 80.62, 90.00 degrees
With the nearest neighbours (Å) after each atom.
Positions (direct):
Cl 0.2500 0.7500 0.5000  4 Ba 3.06, 4 P 3.41
P 0.8750 0.5673 0.7500  2 P 2.22
P 0.3173 0.1250 0.2500  2 P 2.22
P 0.4327 0.6250 0.2500  2 P 2.22
Cl 0.5000 0.5000 0.0000  4 Ba 3.06, 4 P 3.41
P 0.3750 0.6827 0.7500  2 P 2.22
Ba 0.0000 0.0000 0.0000  4 Cl 3.06
Ba 0.7500 0.2500 0.5000  4 Cl 3.06

=====

No. 3
Entry from Alexandria: an optimized crystal structure of BeCu2 (PBE).

Computed properties:
- Density: 6.2 Mg/m³
- E: -3.606 eV per atom
- Spin magnetization: 0.000 μB/atom

Cell lengths 4.6941, 4.6941, 4.6941 Å; angles 60.00, 60.00, 60.00 degrees
With the nearest neighbours (Å) after each atom.
Positions (direct):
Be 0.7500 0.7500 0.7500  12 Cu 2.75, 4 Be 2.87
Cu 0.1250 0.1250 0.6250  6 Cu 2.35
Cu 0.6250 0.1250 0.1250  6 Cu 2.35
Cu 0.1250 0.1250 0.1250  6 Cu 2.35
Cu 0.1250 0.6250 0.1250  6 Cu 2.35
Be 0.5000 0.5000 0.5000  12 Cu 2.75, 4 Be 2.87

=====

No. 4
Entry from Alexandria: an optimized crystal structure of KInS6 (PBE).

Computed properties:
- Density: 2.4 Mg/m³
- E: -3.823 eV per atom
- Spin magnetization: 0.000 μB/atom

Cell lengths 5.6606, 15.5586, 9.8904 Å; angles 135.55, 132.87, 87.12 degrees
With the nearest neighbours (Å) after each atom.
Positions (direct):
In 0.0000 0.0000 0.0000  4 S 2.54
S 0.7215 0.7237 0.1187  2 S 2.10-2.11
S 0.1290 0.4124 0.9209  1 S 2.11
S 0.2785 0.2763 0.8813  2 S 2.10-2.11
S 0.4344 0.9255 0.1098  1 S 2.10
S 0.8710 0.5876 0.0791  1 S 2.11
K 0.5000 0.5000 0.5000  8 S 3.27-3.44
S 0.5656 0.0745 0.8902  1 S 2.10

=====

No. 5
Entry from Alexandria: an optimized crystal structure of VZnFe2H (PBE).

Computed properties:
- Density: 7.4 Mg/m³
- E: -6.115 eV per atom
- Spin magnetization: 0.575 μB/atom

Cell lengths 3.6946, 3.6946, 3.7488 Å; angles 90.00, 90.00, 90.00 degrees
With the nearest neighbours (Å) after each atom.
Positions (direct):
Zn 0.5000 0.5000 0.5000  4 V 2.61, 8 Fe 2.63
Fe 0.0000 0.5000 0.0000  2 H 1.85
Fe 0.5000 0.0000 0.0000  2 H 1.85
H 0.0000 0.0000 0.0000  4 Fe 1.85, 2 V 1.87
V 0.0000 0.0000 0.5000  2 H 1.87

=====

No. 6
Entry from Alexandria: an optimized crystal structure of Ca4ZnIn (PBE).

Computed properties:
- Density: 2.6 Mg/m³
- E: -2.112 eV per atom
- Spin magnetization: 0.112 μB/atom
- Excess energy over the best structure of this formula in the dataset: 12.27 kJ/mol of atoms

Cell lengths 5.3558, 5.3560, 7.4739 Å; angles 89.82, 89.88, 90.00 degrees
With the nearest neighbours (Å) after each atom.
Positions (direct):
Ca 0.0017 0.4973 0.7481  2 Zn 3.26-3.27, 2 In 3.26-3.27
In 0.5013 0.4973 0.9981  8 Ca 3.26-3.27
Ca 0.0009 0.4973 0.2482  2 Zn 3.26-3.27, 2 In 3.26-3.27
Ca 0.5013 0.9966 0.2481  2 Zn 3.26-3.27, 2 In 3.26-3.27
Zn 0.0013 0.9973 0.4983  8 Ca 3.26-3.27
Ca 0.5013 0.9979 0.7481  2 Zn 3.26-3.27, 2 In 3.26-3.27